VASP calculation (PBE) on a relaxed structure of TlAuSe2N.

```
TlAuSe2N
1.0
-2.455 -4.941 -0.448
2.066 -1.472 4.920
-3.084 1.378 1.708
Tl Au Se N
1 1 2 1
Direct
0.500 0.500 0.500
0.000 0.000 0.000
0.000 0.500 0.000
0.500 0.000 0.000
0.000 0.000 0.500
```

Properties
Relative energy among the computed polymorphs: 0.000 eV/atom
Raw formation energy: 76 kJ per mole of atoms